A:
Computed, not measured: a geometry-optimized Li8SiAu2 structure at the PBE level of DFT.

abc: 4.4989 5.9820 7.7452
angles: 112.68 106.74 90.04
With the nearest neighbours (Å) after each atom.
Atoms (fractional coordinates):
Li (0.0000, 0.0000, 0.0000)  1 Si 2.62, 3 Au 2.73-2.76
Li (0.0183, 0.5104, 0.0386)  3 Au 2.59-2.70, 3 Li 2.72-2.76
Li (0.2345, 0.0497, 0.4649)  4 Li 2.52-2.75, 1 Au 2.62, 2 Si 2.69-2.70
Li (0.3330, 0.7984, 0.6682)  4 Li 2.52-2.82, 2 Au 2.59, 2 Si 2.73
Li (0.4339, 0.2535, 0.8700)  4 Li 2.52-2.75, 1 Au 2.62, 2 Si 2.69-2.70
Li (0.6509, 0.1400, 0.2978)  3 Au 2.59-2.70, 3 Li 2.72-2.76
Li (0.6687, 0.6675, 0.3358)  1 Si 2.62, 3 Au 2.73-2.76
Li (0.8317, 0.5151, 0.6678)  1 Si 2.74, 6 Li 2.76-2.95
Si (0.8339, 0.0571, 0.6678)  9 Li 2.62-2.74
Au (0.1750, 0.4067, 0.3450)  8 Li 2.59-2.76
Au (0.4944, 0.7303, 0.9915)  8 Li 2.59-2.76

Computed properties:
As for the space group: P1, No. 1. For the volume, the calculation gives 16.61 Å³ per atom.

B:
Computed, not measured: a geometry-optimized Li8SiAu2 structure at the PBE level of DFT.

abc: 6.9318 6.9318 6.7458
angles: 117.69 117.69 37.24
With the nearest neighbours (Å) after each atom.
Atoms (fractional coordinates):
Li (0.0237, 0.0237, 0.2267)  7 Li 2.52-2.81, 1 Au 2.69
Li (0.1412, 0.1412, 0.6823)  3 Li 2.52-2.80, 2 Si 2.76, 2 Au 2.78
Li (0.3350, 0.3350, 0.6147)  3 Au 2.63-2.88, 1 Si 2.64, 4 Li 2.75-2.80
Li (0.3833, 0.3833, 0.0622)  1 Si 2.58, 3 Au 2.64-2.68, 3 Li 2.74-2.76
Li (0.6167, 0.6167, 0.9378)  1 Si 2.58, 3 Au 2.64-2.68, 3 Li 2.74-2.76
Li (0.6650, 0.6650, 0.3853)  3 Au 2.63-2.88, 1 Si 2.64, 4 Li 2.75-2.80
Li (0.8588, 0.8588, 0.3177)  3 Li 2.52-2.80, 2 Si 2.76, 2 Au 2.78
Li (0.9763, 0.9763, 0.7733)  7 Li 2.52-2.81, 1 Au 2.69
Si (0.5000, 0.5000, 0.5000)  8 Li 2.58-2.76
Au (0.2121, 0.2121, 0.1685)  11 Li 2.63-2.94
Au (0.7879, 0.7879, 0.8315)  11 Li 2.63-2.94

Computed properties:
As for the space group: C2/m, No. 12. For the volume, the calculation gives 15.54 Å³ per atom.

Question: of the structures shown, which is the most stable? Reply: B.